No. 1
Computed, not measured: a geometry-optimized Cs2LaInCl6 structure at the GGA-PBE level of DFT.

Cell: 8.276 8.276 8.277 Å, 60.00 60.00 90.00°
Fractional positions:
Cl1 0.237 0.237 0.526
Cl2 0.763 0.237 0.000
Cl3 0.237 0.237 0.000
Cl4 0.763 0.763 0.474
Cl5 0.237 0.763 0.000
Cl6 0.763 0.763 0.000
In1 0.500 0.500 0.000
Cs1 0.250 0.750 0.500
Cs2 0.750 0.250 0.500
La1 0.000 0.000 0.000

Computed properties:
Calculated volume   40.095 Å³/atom
Calculated total energy   -39.75 eV/f.u.
Energy above the lowest structure with this stoichiometry   0.0275 eV per atom
Density of states at the Fermi level   0.000 states/eV per atom

***

No. 2
Computed, not measured: a geometry-optimized Cs2LaInCl6 structure at the GGA-PBE level of DFT.

Cell: 8.026 8.391 11.512 Å, 90.00 89.42 90.00°
Fractional positions:
Cl1 0.316 0.725 0.450
Cl2 0.184 0.225 0.050
Cl3 0.409 0.970 0.734
Cl4 0.684 0.275 0.550
Cl5 0.091 0.470 0.766
Cl6 0.781 0.812 0.543
Cl7 0.591 0.030 0.266
Cl8 0.219 0.188 0.457
Cl9 0.719 0.312 0.957
Cl10 0.281 0.688 0.043
Cl11 0.816 0.775 0.950
Cl12 0.909 0.530 0.234
Cs1 0.019 0.940 0.251
Cs2 0.981 0.060 0.749
Cs3 0.519 0.560 0.751
Cs4 0.481 0.440 0.249
In1 0.000 0.500 0.500
In2 0.500 0.000 0.000
La1 0.500 0.000 0.500
La2 0.000 0.500 0.000

Computed properties:
Calculated volume   38.765 Å³/atom
Calculated total energy   -40.03 eV/f.u.
Energy above the lowest structure with this stoichiometry   0.0000 eV per atom
Density of states at the Fermi level   0.000 states/eV per atom

***

No. 3
Computed, not measured: a geometry-optimized Cs2LiInCl6 structure at the GGA-PBE level of DFT.

Cell: 13.054 13.054 13.054 Å, 33.22 33.22 33.22°
Fractional positions:
Li1 0.413 0.413 0.413
Li2 0.587 0.587 0.587
In1 0.500 0.500 0.500
In2 0.000 0.000 0.000
Cl1 0.385 0.385 0.855
Cl2 0.615 0.145 0.615
Cl3 0.615 0.615 0.145
Cl4 0.202 0.202 0.716
Cl5 0.798 0.798 0.284
Cl6 0.202 0.716 0.202
Cl7 0.385 0.855 0.385
Cl8 0.145 0.615 0.615
Cl9 0.855 0.385 0.385
Cl10 0.798 0.284 0.798
Cl11 0.716 0.202 0.202
Cl12 0.284 0.798 0.798
Cs1 0.874 0.874 0.874
Cs2 0.126 0.126 0.126
Cs3 0.709 0.709 0.709
Cs4 0.291 0.291 0.291

Computed properties:
Calculated volume   29.722 Å³/atom
Calculated total energy   -34.01 eV/f.u.
Density of states at the Fermi level   0.000 states/eV per atom

***

No. 4
Computed, not measured: a geometry-optimized CsLiIn2Cl4 structure at the GGA-PBE level of DFT.

Cell: 9.148 9.148 9.123 Å, 119.88 119.88 90.02°
Fractional positions:
In1 0.000 0.000 0.500
In2 0.500 0.000 0.500
In3 0.500 0.000 0.000
In4 0.500 0.500 0.000
Cl1 0.330 0.697 0.514
Cl2 0.258 0.241 0.983
Cl3 0.197 0.830 0.014
Cl4 0.803 0.170 0.986
Cl5 0.742 0.759 0.017
Cl6 0.670 0.303 0.486
Cl7 0.259 0.242 0.517
Cl8 0.741 0.758 0.483
Li1 0.500 0.500 0.500
Li2 0.000 0.000 0.000
Cs1 0.000 0.500 0.500
Cs2 0.000 0.500 0.000

Computed properties:
Calculated volume   33.865 Å³/atom
Calculated total energy   -25.67 eV/f.u.
Density of states at the Fermi level   0.000 states/eV per atom

***

No. 5
Computed, not measured: a geometry-optimized CsLiIn2Cl8 structure at the GGA-PBE level of DFT.

Cell: 6.682 6.682 10.445 Å, 71.35 71.35 60.00°
Fractional positions:
Cl1 0.063 0.370 0.842
Cl2 0.177 0.177 0.470
Cl3 0.937 0.630 0.158
Cl4 0.726 0.063 0.842
Cl5 0.274 0.937 0.158
Cl6 0.370 0.726 0.842
Cl7 0.630 0.274 0.158
Cl8 0.823 0.823 0.530
In1 0.259 0.259 0.222
In2 0.741 0.741 0.778
Li1 0.000 0.000 0.000
Cs1 0.500 0.500 0.500

Computed properties:
Calculated volume   31.277 Å³/atom
Calculated total energy   -39.51 eV/f.u.
Density of states at the Fermi level   0.000 states/eV per atom

***

No. 6
Computed, not measured: a geometry-optimized Cs3LiIn2Cl9 structure at the GGA-PBE level of DFT.

Cell: 7.497 7.497 9.221 Å, 90.00 90.00 120.00°
Fractional positions:
In1 0.667 0.333 0.823
In2 0.333 0.667 0.177
Cs1 0.667 0.333 0.339
Cs2 0.333 0.667 0.661
Cs3 0.000 0.000 0.000
Cl1 0.167 0.833 0.332
Cl2 0.667 0.833 0.332
Cl3 0.833 0.667 0.668
Cl4 0.000 0.500 0.000
Cl5 0.833 0.167 0.668
Cl6 0.500 0.500 0.000
Cl7 0.333 0.167 0.668
Cl8 0.167 0.333 0.332
Cl9 0.500 0.000 0.000
Li1 0.000 0.000 0.500

Computed properties:
Calculated volume   29.919 Å³/atom
Calculated total energy   -49.91 eV/f.u.
Density of states at the Fermi level   0.151 states/eV per atom